DFT (GGA-PBE) results for a geometry-optimized CaMg2CdAu structure.

a = 6.223 Å, b = 6.223 Å, c = 5.425 Å
α = 90.00°, β = 90.00°, γ = 90.00°
Space group P4/mmm (No. 123)
Unique sites:
1 Ca 0.000 0.000 0.000 [1 per cell]
2 Mg 0.000 0.500 0.000 [2 per cell]
3 Cd 0.500 0.500 0.500 [1 per cell]
4 Au 0.000 0.000 0.500 [1 per cell]

**Uncorrected energy**: -1.282 eV per atom
**Total magnetization**: 0.0 μB/f.u.
**Formation energy from the elements**: 0.5944 eV/atom

=====

DFT (GGA-PBE) results for a geometry-optimized CaMgCd2Au4 structure.

a = 4.8483 Å, b = 4.8483 Å, c = 23.8102 Å
α = 90.00°, β = 90.00°, γ = 120.00°
Space group R-3m (No. 166, hexagonal axes)
Unique sites:
1 Ca 0.0000 0.0000 0.0000 [3 per cell]
2 Mg 0.0000 0.0000 0.5000 [3 per cell]
3 Cd 0.0000 0.0000 0.2524 [6 per cell]
4 Au 0.0000 0.0000 0.1310 [6 per cell]
5 Au 0.0000 0.0000 0.3824 [6 per cell]

**Uncorrected energy**: -2.792 eV per atom
**Total magnetization**: 0.0 μB/f.u.
**Formation energy from the elements**: -0.4747 eV/atom

=====

DFT (GGA-PBE) results for a geometry-optimized NaCaCd2Au2 structure.

a = 4.8882 Å, b = 4.8882 Å, c = 6.6831 Å
α = 90.00°, β = 90.00°, γ = 120.00°
Space group P-3m1 (No. 164)
Unique sites:
1 Na 0.0000 0.0000 0.0000 [1 per cell]
2 Ca 0.0000 0.0000 0.5000 [1 per cell]
3 Cd 0.3333 0.6667 0.7808 [2 per cell]
4 Au 0.3333 0.6667 0.2563 [2 per cell]

**Uncorrected energy**: -2.380 eV per atom
**Total magnetization**: 0.0 μB/f.u.
**Formation energy from the elements**: -0.4289 eV/atom

=====

DFT (GGA-PBE) results for a geometry-optimized CaNdCdAu structure.

a = 7.498 Å, b = 7.498 Å, c = 7.498 Å
α = 90.00°, β = 90.00°, γ = 90.00°
Space group F-43m (No. 216)
Unique sites:
1 Ca 0.000 0.000 0.000 [4 per cell]
2 Nd 0.000 0.000 0.500 [4 per cell]
3 Cd 0.250 0.250 0.750 [4 per cell]
4 Au 0.250 0.250 0.250 [4 per cell]

**Polymorph energy (0 for the lowest one)**: 9 meV per atom
**Uncorrected energy**: -3.290 eV per atom
**Total magnetization**: 0.0 μB/f.u.
**Formation energy from the elements**: -0.5493 eV/atom

=====

DFT (GGA-PBE) results for a geometry-optimized CaNdCdAu structure.

a = 3.744 Å, b = 3.744 Å, c = 7.632 Å
α = 90.00°, β = 90.00°, γ = 90.00°
Space group P4mm (No. 99)
Unique sites:
1 Ca 0.000 0.000 0.000 [1 per cell]
2 Nd 0.000 0.000 0.535 [1 per cell]
3 Cd 0.500 0.500 0.265 [1 per cell]
4 Au 0.500 0.500 0.760 [1 per cell]

**Polymorph energy (0 for the lowest one)**: 0 meV per atom
**Uncorrected energy**: -3.299 eV per atom
**Total magnetization**: 0.1 μB/f.u.
**Formation energy from the elements**: -0.5587 eV/atom

=====

DFT (GGA-PBE) results for a geometry-optimized CaCd2AuO4 structure.

a = 3.236 Å, b = 12.100 Å, c = 11.949 Å
α = 90.00°, β = 90.00°, γ = 90.00°
Space group Cmcm (No. 63)
Unique sites:
1 Ca 0.000 0.185 0.250 [4 per cell]
2 Cd 0.000 0.370 0.024 [8 per cell]
3 Au 0.000 0.074 0.750 [4 per cell]
4 O 0.000 0.000 0.000 [4 per cell]
5 O 0.000 0.241 0.622 [8 per cell]
6 O 0.000 0.464 0.750 [4 per cell]

**Uncorrected formation energy**: -1.021 eV per atom
**Uncorrected energy**: -4.389 eV per atom
**Total magnetization**: 0.0 μB/f.u.

=====

DFT (GGA-PBE) results for a geometry-optimized Ca4CdPb2Au structure.

a = 5.4104 Å, b = 5.4104 Å, c = 26.4625 Å
α = 90.00°, β = 90.00°, γ = 120.00°
Space group R-3m (No. 166, hexagonal axes)
Unique sites:
1 Ca 0.0000 0.0000 0.1199 [6 per cell]
2 Ca 0.0000 0.0000 0.3708 [6 per cell]
3 Cd 0.0000 0.0000 0.5000 [3 per cell]
4 Pb 0.0000 0.0000 0.2458 [6 per cell]
5 Au 0.0000 0.0000 0.0000 [3 per cell]

**Uncorrected energy**: -3.044 eV per atom
**Total magnetization**: 0.0 μB/f.u.
**Formation energy from the elements**: -0.5916 eV/atom

=====

DFT (GGA-PBE) results for a geometry-optimized Ca2CdPbAu4 structure.

a = 5.0379 Å, b = 5.0379 Å, c = 24.6920 Å
α = 90.00°, β = 90.00°, γ = 120.00°
Space group R-3m (No. 166, hexagonal axes)
Unique sites:
1 Ca 0.0000 0.0000 0.2502 [6 per cell]
2 Cd 0.0000 0.0000 0.5000 [3 per cell]
3 Pb 0.0000 0.0000 0.0000 [3 per cell]
4 Au 0.0000 0.0000 0.1288 [6 per cell]
5 Au 0.0000 0.0000 0.3774 [6 per cell]

**Uncorrected energy**: -3.267 eV per atom
**Total magnetization**: 0.0 μB/f.u.
**Formation energy from the elements**: -0.5498 eV/atom

=====

DFT (GGA-PBE) results for a geometry-optimized CaCd2PdAu2 structure.

a = 5.389 Å, b = 5.389 Å, c = 11.200 Å
α = 90.00°, β = 90.00°, γ = 90.00°
Space group I4/mmm (No. 139)
Unique sites:
1 Ca 0.000 0.000 0.000 [2 per cell]
2 Cd 0.000 0.500 0.250 [4 per cell]
3 Pd 0.000 0.000 0.500 [2 per cell]
4 Au 0.000 0.000 0.264 [4 per cell]

**Uncorrected energy**: -2.617 eV per atom
**Total magnetization**: 0.0 μB/f.u.
**Formation energy from the elements**: -0.0201 eV/atom

=====

DFT (GGA-PBE) results for a geometry-optimized Ca2CdPdAu6 structure.

a = 10.259 Å, b = 10.259 Å, c = 10.259 Å
α = 90.00°, β = 90.00°, γ = 90.00°
Space group Fm-3m (No. 225)
Unique sites:
1 Ca 0.250 0.250 0.250 [8 per cell]
2 Cd 0.000 0.000 0.000 [4 per cell]
3 Pd 0.000 0.000 0.500 [4 per cell]
4 Au 0.000 0.000 0.253 [24 per cell]

**Uncorrected energy**: -3.021 eV per atom
**Total magnetization**: 0.0 μB/f.u.
**Formation energy from the elements**: -0.0440 eV/atom

=====

DFT (GGA-PBE) results for a geometry-optimized CaPm2CdAu4 structure.

a = 5.0940 Å, b = 5.0940 Å, c = 25.0007 Å
α = 90.00°, β = 90.00°, γ = 120.00°
Space group R-3m (No. 166, hexagonal axes)
Unique sites:
1 Ca 0.0000 0.0000 0.0000 [3 per cell]
2 Pm 0.0000 0.0000 0.2439 [6 per cell]
3 Cd 0.0000 0.0000 0.5000 [3 per cell]
4 Au 0.0000 0.0000 0.1215 [6 per cell]
5 Au 0.0000 0.0000 0.3718 [6 per cell]

**Uncorrected energy**: -3.929 eV per atom
**Total magnetization**: 0.0 μB/f.u.
**Formation energy from the elements**: -0.7384 eV/atom

=====

DFT (GGA-PBE) results for a geometry-optimized CaPrCdAu structure.

a = 7.530 Å, b = 7.530 Å, c = 7.530 Å
α = 90.00°, β = 90.00°, γ = 90.00°
Space group F-43m (No. 216)
Unique sites:
1 Ca 0.000 0.000 0.000 [4 per cell]
2 Pr 0.000 0.000 0.500 [4 per cell]
3 Cd 0.250 0.250 0.750 [4 per cell]
4 Au 0.250 0.250 0.250 [4 per cell]

**Uncorrected energy**: -3.293 eV per atom
**Total magnetization**: 0.0 μB/f.u.
**Formation energy from the elements**: -0.5491 eV/atom